# 1
VASP calculation (GGA-PBE) on LaPr2DyAs4 after structural relaxation.

abc: 7.409 4.284 7.411
angles: 90.00 109.43 90.00
Fractional positions:
La  0.000  0.000  0.000
Pr  0.000  0.500  0.500
Pr  0.500  0.000  0.500
Dy  0.500  0.500  0.000
As  0.255  0.500  0.247
As  0.258  0.000  0.757
As  0.742  0.000  0.243
As  0.745  0.500  0.753

mass density: 6.6 g/cm³
symmetry: No. 10
crystal system: monoclinic
ΔE_f: -1.51 eV per atom

# 2
VASP calculation (GGA-PBE) on La2Pr3DyAs6 after structural relaxation.

abc: 9.616 9.616 8.604
angles: 102.97 102.97 25.86
Fractional positions:
La  0.165  0.165  0.331
La  0.835  0.835  0.669
Pr  0.167  0.167  0.834
Pr  0.500  0.500  0.500
Pr  0.833  0.833  0.166
Dy  0.500  0.500  0.000
As  0.001  0.001  0.758
As  0.334  0.334  0.416
As  0.337  0.337  0.920
As  0.663  0.663  0.080
As  0.666  0.666  0.584
As  0.999  0.999  0.242

mass density: 6.5 g/cm³
symmetry: No. 12
crystal system: monoclinic
ΔE_f: -1.52 eV per atom

# 3
VASP calculation (GGA-PBE) on La2PrDyAs4 after structural relaxation.

abc: 7.438 4.299 7.439
angles: 90.00 109.46 90.00
Fractional positions:
La  0.000  0.000  0.000
La  0.000  0.500  0.500
Pr  0.500  0.000  0.500
Dy  0.500  0.500  0.000
As  0.256  0.500  0.247
As  0.259  0.000  0.758
As  0.741  0.000  0.242
As  0.744  0.500  0.753

mass density: 6.5 g/cm³
symmetry: No. 10
crystal system: monoclinic
ΔE_f: -1.54 eV per atom

# 4
VASP calculation (GGA-PBE) on LaPrDy2As4 after structural relaxation.

abc: 7.322 4.234 7.331
angles: 90.00 109.48 90.00
Fractional positions:
La  0.000  0.000  0.000
Pr  0.000  0.500  0.500
Dy  0.500  0.000  0.500
Dy  0.500  0.500  0.000
As  0.262  0.000  0.753
As  0.263  0.500  0.255
As  0.737  0.500  0.745
As  0.738  0.000  0.247

mass density: 7.0 g/cm³
symmetry: No. 10
crystal system: monoclinic
ΔE_f: -1.53 eV per atom

# 5
VASP calculation (GGA-PBE) on La2DyAs4Pt3 after structural relaxation.

abc: 4.492 4.492 10.778
angles: 90.00 90.00 90.00
Fractional positions:
La  0.000  0.500  0.223
La  0.500  0.000  0.777
Dy  0.000  0.000  0.500
As  0.000  0.000  0.000
As  0.000  0.500  0.654
As  0.500  0.000  0.346
As  0.500  0.500  0.000
Pt  0.000  0.500  0.888
Pt  0.500  0.000  0.112
Pt  0.500  0.500  0.500

mass density: 10.1 g/cm³
symmetry: No. 115
crystal system: tetragonal
ΔE_f: -1.03 eV per atom

# 6
VASP calculation (GGA-PBE) on LaDy2PuAs4 after structural relaxation.

abc: 7.248 4.195 7.257
angles: 90.00 109.49 90.00
Fractional positions:
La  0.000  0.000  0.000
Dy  0.500  0.000  0.500
Dy  0.500  0.500  0.000
Pu  0.000  0.500  0.500
As  0.254  0.000  0.744
As  0.259  0.500  0.260
As  0.741  0.500  0.740
As  0.746  0.000  0.256

mass density: 8.0 g/cm³
symmetry: No. 10
crystal system: monoclinic
ΔE_f: -1.39 eV per atom